TmCuGe: optimized geometry, PBE.

The structure in POSCAR format:
```
TmCuGe
1.0
4.189 0.000 0.000
-2.095 3.628 0.000
0.000 0.000 3.668
Tm Cu Ge
1 1 1
Direct
0.000 0.000 0.000
0.333 0.667 0.500
0.667 0.333 0.500
```

* spin magnetization: 0.00 μB per cell
* density of states at the Fermi level: 0.9 states/eV/f.u.
* E_tot: -5.031 eV per atom
* calculated volume: 18.582 Å³/atom